Computed, not measured: Ba2TcRu after structural relaxation at the PBE level of DFT.

Cell: 3.6217 3.6217 29.0221 Å, 90.00 90.00 120.00°
Space group R-3m (No. 166, hexagonal axes)
One atom of each set of equivalent atoms:
Ba1 0.0000 0.0000 0.2458 (multiplicity 6)
Tc1 0.0000 0.0000 0.0000 (multiplicity 3)
Ru1 0.0000 0.0000 0.5000 (multiplicity 3)

Values from the calculation:
VASP energy	-4.5620	eV/atom
ΔE to the lowest computed polymorph	1057	meV per atom

Computed, not measured: BaTcRu2 after structural relaxation at the PBE level of DFT.

Cell: 3.028 4.177 6.815 Å, 90.00 96.91 90.00°
Space group Pm (No. 6)
One atom of each set of equivalent atoms:
Ba1 0.000 0.000 0.000 (multiplicity 1)
Tc1 0.209 0.500 0.603 (multiplicity 1)
Ru1 0.594 0.000 0.524 (multiplicity 1)
Ru2 0.638 0.500 0.296 (multiplicity 1)

Values from the calculation:
VASP energy	-6.9287	eV/atom
ΔE to the lowest computed polymorph	356	meV per atom

Computed, not measured: BaTcRu2 after structural relaxation at the PBE level of DFT.

Cell: 3.017 3.353 7.866 Å, 90.00 90.33 90.00°
Space group P2/m (No. 10)
One atom of each set of equivalent atoms:
Ba1 0.000 0.000 0.000 (multiplicity 1)
Tc1 0.000 0.000 0.500 (multiplicity 1)
Ru1 0.500 0.500 0.327 (multiplicity 2)

Values from the calculation:
VASP energy	-7.1149	eV/atom
ΔE to the lowest computed polymorph	170	meV per atom

Computed, not measured: Ba2TcRu after structural relaxation at the PBE level of DFT.

Cell: 3.514 4.089 9.239 Å, 90.00 97.65 90.00°
Space group Pm (No. 6)
One atom of each set of equivalent atoms:
Ba1 0.000 0.000 0.000 (multiplicity 1)
Ba2 0.290 0.500 0.546 (multiplicity 1)
Tc1 0.812 0.000 0.308 (multiplicity 1)
Ru1 0.505 0.500 0.236 (multiplicity 1)

Values from the calculation:
VASP energy	-5.3494	eV/atom
ΔE to the lowest computed polymorph	269	meV per atom

Computed, not measured: Ba2TcRu after structural relaxation at the PBE level of DFT.

Cell: 7.280 4.199 9.535 Å, 90.00 102.97 90.00°
Space group Cm (No. 8)
One atom of each set of equivalent atoms:
Ba1 0.000 0.000 0.000 (multiplicity 2)
Ba2 0.157 0.000 0.531 (multiplicity 2)
Tc1 0.250 0.500 0.281 (multiplicity 2)
Ru1 0.407 0.000 0.248 (multiplicity 2)

Values from the calculation:
VASP energy	-5.6186	eV/atom
ΔE to the lowest computed polymorph	0	meV per atom

Computed, not measured: BaTc2Ru after structural relaxation at the PBE level of DFT.

Cell: 2.932 3.669 7.721 Å, 90.00 90.00 90.00°
Space group Pmmm (No. 47)
One atom of each set of equivalent atoms:
Ba1 0.000 0.000 0.000 (multiplicity 1)
Tc1 0.500 0.500 0.340 (multiplicity 2)
Ru1 0.000 0.000 0.500 (multiplicity 1)

Values from the calculation:
VASP energy	-7.2681	eV/atom
ΔE to the lowest computed polymorph	184	meV per atom

Computed, not measured: BaTc2Ru after structural relaxation at the PBE level of DFT.

Cell: 2.909 5.183 10.383 Å, 90.00 90.00 90.00°
Space group Immm (No. 71)
One atom of each set of equivalent atoms:
Ba1 0.000 0.000 0.000 (multiplicity 2)
Tc1 0.000 0.500 0.212 (multiplicity 4)
Ru1 0.000 0.000 0.500 (multiplicity 2)

Values from the calculation:
VASP energy	-6.9539	eV/atom
ΔE to the lowest computed polymorph	498	meV per atom

Computed, not measured: BaTc2Ru after structural relaxation at the PBE level of DFT.

Cell: 9.006 3.218 6.474 Å, 90.00 105.21 90.00°
Space group Cm (No. 8)
One atom of each set of equivalent atoms:
Ba1 0.000 0.000 0.000 (multiplicity 2)
Tc1 0.000 0.500 0.501 (multiplicity 2)
Tc2 0.293 0.500 0.378 (multiplicity 2)
Ru1 0.219 0.000 0.645 (multiplicity 2)

Values from the calculation:
VASP energy	-7.3009	eV/atom
ΔE to the lowest computed polymorph	151	meV per atom

Computed, not measured: BaTcRu2 after structural relaxation at the PBE level of DFT.

Cell: 2.9388 2.9388 29.8432 Å, 90.00 90.00 120.00°
Space group R-3m (No. 166, hexagonal axes)
One atom of each set of equivalent atoms:
Ba1 0.0000 0.0000 0.0000 (multiplicity 3)
Tc1 0.0000 0.0000 0.5000 (multiplicity 3)
Ru1 0.0000 0.0000 0.2351 (multiplicity 6)

Values from the calculation:
VASP energy	-6.8107	eV/atom
ΔE to the lowest computed polymorph	474	meV per atom

Computed, not measured: BaTcRu2 after structural relaxation at the PBE level of DFT.

Cell: 2.943 5.131 10.261 Å, 90.00 90.00 90.00°
Space group Imm2 (No. 44)
One atom of each set of equivalent atoms:
Ba1 0.000 0.000 0.000 (multiplicity 2)
Tc1 0.000 0.500 0.215 (multiplicity 2)
Ru1 0.000 0.000 0.507 (multiplicity 2)
Ru2 0.000 0.500 0.788 (multiplicity 2)

Values from the calculation:
VASP energy	-6.7083	eV/atom
ΔE to the lowest computed polymorph	576	meV per atom

Computed, not measured: BaTc2Ru after structural relaxation at the PBE level of DFT.

Cell: 6.677 6.677 6.677 Å, 90.00 90.00 90.00°
Space group F-43m (No. 216)
One atom of each set of equivalent atoms:
Ba1 0.000 0.000 0.000 (multiplicity 4)
Tc1 0.000 0.000 0.500 (multiplicity 4)
Tc2 0.250 0.250 0.750 (multiplicity 4)
Ru1 0.250 0.250 0.250 (multiplicity 4)

Values from the calculation:
VASP energy	-6.8044	eV/atom
ΔE to the lowest computed polymorph	648	meV per atom

Computed, not measured: BaTc2Ru after structural relaxation at the PBE level of DFT.

Cell: 3.196 3.196 7.920 Å, 90.00 90.00 90.00°
Space group P4mm (No. 99)
One atom of each set of equivalent atoms:
Ba1 0.000 0.000 0.000 (multiplicity 1)
Tc1 0.000 0.000 0.503 (multiplicity 1)
Tc2 0.500 0.500 0.660 (multiplicity 1)
Ru1 0.500 0.500 0.319 (multiplicity 1)

Values from the calculation:
VASP energy	-7.3344	eV/atom
ΔE to the lowest computed polymorph	118	meV per atom

Computed, not measured: BaTc2Ru after structural relaxation at the PBE level of DFT.

Cell: 3.058 4.885 5.009 Å, 90.00 90.00 90.00°
Space group Pmmm (No. 47)
One atom of each set of equivalent atoms:
Ba1 0.000 0.000 0.000 (multiplicity 1)
Tc1 0.000 0.500 0.500 (multiplicity 1)
Tc2 0.500 0.000 0.500 (multiplicity 1)
Ru1 0.500 0.500 0.000 (multiplicity 1)

Values from the calculation:
VASP energy	-6.6668	eV/atom
ΔE to the lowest computed polymorph	785	meV per atom

Computed, not measured: BaTcRu3 after structural relaxation at the PBE level of DFT.

Cell: 4.785 4.785 4.785 Å, 90.00 90.00 90.00°
Space group Pm-3m (No. 221)
One atom of each set of equivalent atoms:
Ba1 0.000 0.000 0.000 (multiplicity 1)
Tc1 0.500 0.500 0.500 (multiplicity 1)
Ru1 0.000 0.500 0.500 (multiplicity 3)

Values from the calculation:
VASP energy	-7.0363	eV/atom
ΔE to the lowest computed polymorph	0	meV per atom

Computed, not measured: BaTcRu2 after structural relaxation at the PBE level of DFT.

Cell: 7.467 7.467 6.603 Å, 90.00 90.00 90.00°
Space group I-42d (No. 122)
One atom of each set of equivalent atoms:
Ba1 0.000 0.000 0.000 (multiplicity 4)
Tc1 0.000 0.000 0.500 (multiplicity 4)
Ru1 0.168 0.250 0.625 (multiplicity 8)

Values from the calculation:
VASP energy	-6.8019	eV/atom
ΔE to the lowest computed polymorph	483	meV per atom

Computed, not measured: Ba2TcRu after structural relaxation at the PBE level of DFT.

Cell: 7.626 7.626 7.626 Å, 90.00 90.00 90.00°
Space group Fm-3m (No. 225)
One atom of each set of equivalent atoms:
Ba1 0.250 0.250 0.250 (multiplicity 8)
Tc1 0.000 0.000 0.000 (multiplicity 4)
Ru1 0.000 0.000 0.500 (multiplicity 4)

Values from the calculation:
VASP energy	-4.6501	eV/atom
ΔE to the lowest computed polymorph	969	meV per atom

Computed, not measured: BaTcRu2 after structural relaxation at the PBE level of DFT.

Cell: 3.316 5.667 9.215 Å, 90.00 90.00 90.00°
Space group Immm (No. 71)
One atom of each set of equivalent atoms:
Ba1 0.000 0.000 0.000 (multiplicity 2)
Tc1 0.000 0.000 0.500 (multiplicity 2)
Ru1 0.000 0.500 0.192 (multiplicity 4)

Values from the calculation:
VASP energy	-6.7516	eV/atom
ΔE to the lowest computed polymorph	533	meV per atom

Computed, not measured: BaTcRu3 after structural relaxation at the PBE level of DFT.

Cell: 4.842 4.842 4.842 Å, 90.00 90.00 90.00°
Space group Pm-3m (No. 221)
One atom of each set of equivalent atoms:
Ba1 0.000 0.000 0.000 (multiplicity 1)
Tc1 0.500 0.500 0.500 (multiplicity 1)
Ru1 0.000 0.000 0.500 (multiplicity 3)

Values from the calculation:
VASP energy	-4.8143	eV/atom
ΔE to the lowest computed polymorph	2222	meV per atom

Computed, not measured: Ba2Tc2Ru after structural relaxation at the PBE level of DFT.

Cell: 3.511 3.511 20.886 Å, 90.00 90.00 90.00°
Space group I4/mmm (No. 139)
One atom of each set of equivalent atoms:
Ba1 0.000 0.000 0.097 (multiplicity 4)
Tc1 0.000 0.500 0.250 (multiplicity 4)
Ru1 0.000 0.000 0.500 (multiplicity 2)

Values from the calculation:
VASP energy	-5.9625	eV/atom
ΔE to the lowest computed polymorph	0	meV per atom

Computed, not measured: BaTcRu2 after structural relaxation at the PBE level of DFT.

Cell: 6.695 6.695 6.695 Å, 90.00 90.00 90.00°
Space group Fm-3m (No. 225)
One atom of each set of equivalent atoms:
Ba1 0.000 0.000 0.000 (multiplicity 4)
Tc1 0.000 0.000 0.500 (multiplicity 4)
Ru1 0.250 0.250 0.250 (multiplicity 8)

Values from the calculation:
VASP energy	-6.5512	eV/atom
ΔE to the lowest computed polymorph	733	meV per atom

Number 1: total magnetic moment 3.21 μB per formula unit, formation enthalpy at 0 K 1.31 eV per atom. Number 2: total magnetic moment 0.00 μB per formula unit, formation enthalpy at 0 K 0.78 eV per atom. Number 3: total magnetic moment 0.00 μB per formula unit, formation enthalpy at 0 K 0.60 eV per atom. Number 4: total magnetic moment 0.00 μB per formula unit, formation enthalpy at 0 K 0.52 eV per atom. Number 5: total magnetic moment 0.00 μB per formula unit, formation enthalpy at 0 K 0.25 eV per atom. Number 6: total magnetic moment 0.00 μB per formula unit, formation enthalpy at 0 K 0.71 eV per atom. Number 7: total magnetic moment 0.00 μB per formula unit, formation enthalpy at 0 K 1.03 eV per atom. Number 8: total magnetic moment 0.00 μB per formula unit, formation enthalpy at 0 K 0.68 eV per atom. Number 9: total magnetic moment 0.00 μB per formula unit, formation enthalpy at 0 K 0.90 eV per atom. Number 10: total magnetic moment 0.00 μB per formula unit, formation enthalpy at 0 K 1.00 eV per atom. Number 11: total magnetic moment 0.41 μB per formula unit, formation enthalpy at 0 K 1.18 eV per atom. Number 12: total magnetic moment 0.00 μB per formula unit, formation enthalpy at 0 K 0.65 eV per atom. Number 13: total magnetic moment 0.01 μB per formula unit, formation enthalpy at 0 K 1.32 eV per atom. Number 14: total magnetic moment 0.00 μB per formula unit, formation enthalpy at 0 K 0.99 eV per atom. Number 15: total magnetic moment 0.00 μB per formula unit, formation enthalpy at 0 K 0.91 eV per atom. Number 16: total magnetic moment 3.50 μB per formula unit, formation enthalpy at 0 K 1.22 eV per atom. Number 17: total magnetic moment 0.00 μB per formula unit, formation enthalpy at 0 K 0.96 eV per atom. Number 18: total magnetic moment 0.00 μB per formula unit, formation enthalpy at 0 K 3.21 eV per atom. Number 19: total magnetic moment 0.00 μB per formula unit, formation enthalpy at 0 K 0.81 eV per atom. Number 20: total magnetic moment 1.23 μB per formula unit, formation enthalpy at 0 K 1.16 eV per atom.